19
Lattice="5.2635 3.0389 3.8326 -5.2635 3.0389 3.8326 0.0000 -6.0778 3.8326" Properties=species:S:1:pos:R:3 comment="Mg6ZnGa12, optimized geometry, DFT PBE" polymorph_energy_ev_per_fu=0.000 magmom_total_mub_per_fu=0.00 formation_enthalpy_0k_kj_per_mol_atoms=-5 space_group=R-3 n_ef_per_ev_fu=8.37 pbc="T T T"
Mg -0.8558 -2.8419 5.1704
Mg -2.8891 -0.6799 6.3273
Mg -2.0333 2.1621 5.1704
Mg 2.0333 -2.1621 6.3273
Mg 2.8891 0.6799 5.1704
Mg 0.8558 2.8419 6.3273
Zn 0.0000 0.0000 5.7489
Ga -3.5360 -3.5540 6.5222
Ga -4.8459 1.2853 4.9755
Ga -1.6968 -0.4470 3.6377
Ga 1.3098 -4.8393 4.9755
Ga 1.2355 -1.2459 3.6377
Ga 0.4612 1.6930 3.6377
Ga -0.4612 -1.6930 7.8600
Ga -1.2355 1.2459 7.8600
Ga -1.3098 4.8393 6.5222
Ga 1.6968 0.4470 7.8600
Ga 4.8459 -1.2853 6.5222
Ga 3.5360 3.5540 4.9755